Record 1
Below is an optimized crystal structure of Mg3IrRh2, with properties calculated at the PBE level.

Cell: 3.124 4.412 13.227 Å, 90.00 90.00 90.00°
Fractional coordinates of all 12 atoms:
Mg (0.500, 0.500, 0.667)
Mg (0.500, 0.000, 0.500)
Mg (0.500, 0.500, 0.333)
Mg (0.500, 0.000, 0.167)
Mg (0.500, 0.500, 0.000)
Mg (0.500, 0.000, 0.833)
Ir (0.000, 0.500, 0.500)
Ir (0.000, 0.000, 0.000)
Rh (0.000, 0.000, 0.666)
Rh (0.000, 0.000, 0.334)
Rh (0.000, 0.500, 0.166)
Rh (0.000, 0.500, 0.834)

Calculated values
DFT formation energy = -0.397 eV/atom
Crystal system = orthorhombic
Total magnetic moment = 0.00 μB per atom
Space group = Cmmm (65)

---

Record 2
Below is an optimized crystal structure of TmPuSn2, with properties calculated at the PBE level.

Cell: 3.556 3.556 10.221 Å, 79.98 79.98 60.00°
Site moments in Bohr magnetons follow the coordinates.
Fractional coordinates of all 4 atoms:
Tm (0.500, 0.500, 0.500)  -0.19
Sn (0.752, 0.752, 0.743)  -0.03
Sn (0.248, 0.248, 0.257)  -0.03
Pu (0.000, 0.000, 0.000)  5.58

Calculated values
DFT formation energy = -0.316 eV/atom
Crystal system = trigonal
Total magnetic moment = 1.44 μB per atom
Space group = R-3m (166)